1.
Here is a relaxed structure of SrCo2Se from Alexandria via LeMat-Bulk. Energies are from PBE.

Unit cell a=4.0382 b=4.5854 c=4.7155 alpha=90.00 beta=90.00 gamma=90.00
Last column: nearest neighbours and their distance in Å.
Fractional positions:
Sr  0.0000  0.0000  0.0000  8 Co 3.25, 4 Se 3.29
Co  0.5000  0.5000  0.2348  1 Co 2.21, 2 Se 2.37
Co  0.5000  0.5000  0.7652  1 Co 2.21, 2 Se 2.37
Se  0.0000  0.5000  0.5000  4 Co 2.37

Density of states at the Fermi level, states/eV per cell: 4.42
Total DFT energy (no corrections), eV per cell: -19.9
Energy relative to the elements, uncorrected, eV/atom: -0.124
Spin magnetization, μB/f.u.: 2.5
Symmetry: Pmmm

***

2.
Here is a relaxed structure of SrCo2Se from Alexandria via LeMat-Bulk. Energies are from PBE.

Unit cell a=7.0223 b=4.0587 c=5.8347 alpha=90.00 beta=113.73 gamma=90.00
Last column: nearest neighbours and their distance in Å.
Fractional positions:
Sr  0.0000  0.0000  0.0000  8 Co 3.07-3.27
Sr  0.5000  0.5000  0.0000  8 Co 3.07-3.27
Co  0.1913  0.0000  0.5739  3 Se 2.37-2.38, 3 Co 2.47
Co  0.3087  0.5000  0.4261  3 Se 2.37-2.38, 3 Co 2.47
Co  0.6913  0.5000  0.5739  3 Se 2.37-2.38, 3 Co 2.47
Co  0.8087  0.0000  0.4261  3 Se 2.37-2.38, 3 Co 2.47
Se  0.0000  0.5000  0.5000  6 Co 2.37-2.38
Se  0.5000  0.0000  0.5000  6 Co 2.37-2.38

Density of states at the Fermi level, states/eV per cell: 8.43
Total DFT energy (no corrections), eV per cell: -39.9
Energy relative to the elements, uncorrected, eV/atom: -0.139
Spin magnetization, μB/f.u.: 0.3
Symmetry: C2/m

***

3.
Here is a relaxed structure of SrCoSe3 from Alexandria via LeMat-Bulk. Energies are from PBE.

Unit cell a=4.8503 b=4.8503 c=4.8503 alpha=90.00 beta=90.00 gamma=90.00
Last column: nearest neighbours and their distance in Å.
Fractional positions:
Sr  0.0000  0.0000  0.0000  12 Se 3.43
Co  0.5000  0.5000  0.5000  6 Se 2.43
Se  0.0000  0.5000  0.5000  2 Co 2.43
Se  0.5000  0.0000  0.5000  2 Co 2.43
Se  0.5000  0.5000  0.0000  2 Co 2.43

Density of states at the Fermi level, states/eV per cell: 6.35
Total DFT energy (no corrections), eV per cell: -22.4
Energy relative to the elements, uncorrected, eV/atom: -0.623
Spin magnetization, μB/f.u.: 1.4
Symmetry: Pm-3m

***

- Number 2 is which compound?
  SrCo2Se

***

Please write out number 2 again, unchanged.
Here is a relaxed structure of SrCo2Se from Alexandria via LeMat-Bulk. Energies are from PBE.

Unit cell a=7.0223 b=4.0587 c=5.8347 alpha=90.00 beta=113.73 gamma=90.00
Last column: nearest neighbours and their distance in Å.
Fractional positions:
Sr  0.0000  0.0000  0.0000  8 Co 3.07-3.27
Sr  0.5000  0.5000  0.0000  8 Co 3.07-3.27
Co  0.1913  0.0000  0.5739  3 Se 2.37-2.38, 3 Co 2.47
Co  0.3087  0.5000  0.4261  3 Se 2.37-2.38, 3 Co 2.47
Co  0.6913  0.5000  0.5739  3 Se 2.37-2.38, 3 Co 2.47
Co  0.8087  0.0000  0.4261  3 Se 2.37-2.38, 3 Co 2.47
Se  0.0000  0.5000  0.5000  6 Co 2.37-2.38
Se  0.5000  0.0000  0.5000  6 Co 2.37-2.38

Density of states at the Fermi level, states/eV per cell: 8.43
Total DFT energy (no corrections), eV per cell: -39.9
Energy relative to the elements, uncorrected, eV/atom: -0.139
Spin magnetization, μB/f.u.: 0.3
Symmetry: C2/m

***

Copy entry 3 word for word.
Here is a relaxed structure of SrCoSe3 from Alexandria via LeMat-Bulk. Energies are from PBE.

Unit cell a=4.8503 b=4.8503 c=4.8503 alpha=90.00 beta=90.00 gamma=90.00
Last column: nearest neighbours and their distance in Å.
Fractional positions:
Sr  0.0000  0.0000  0.0000  12 Se 3.43
Co  0.5000  0.5000  0.5000  6 Se 2.43
Se  0.0000  0.5000  0.5000  2 Co 2.43
Se  0.5000  0.0000  0.5000  2 Co 2.43
Se  0.5000  0.5000  0.0000  2 Co 2.43

Density of states at the Fermi level, states/eV per cell: 6.35
Total DFT energy (no corrections), eV per cell: -22.4
Energy relative to the elements, uncorrected, eV/atom: -0.623
Spin magnetization, μB/f.u.: 1.4
Symmetry: Pm-3m